# PaTc2B2 PBE optimized geometry
# * electronic total energy: -9.08 eV/atom
# * energy of formation: -0.367 eV/atom
# * spin magnetization: 0.000 Bohr magnetons per cell
data_PaTc2B2
_chemical_formula_sum 'Pa2 Tc4 B4'
_symmetry_space_group_name_H-M 'P 1 21/m 1'
_symmetry_Int_Tables_number 11
_cell_length_a 4.318
_cell_length_b 3.158
_cell_length_c 9.930
_cell_angle_alpha 90.00
_cell_angle_beta 95.64
_cell_angle_gamma 90.00
loop_
_symmetry_equiv_pos_as_xyz
'x,y,z'
'-x,-y,-z'
'-x,y+1/2,-z'
'x,-y+1/2,z'
loop_
_atom_site_label
_atom_site_fract_x
_atom_site_fract_y
_atom_site_fract_z
Pa1 0.193 0.250 0.244
Tc1 0.248 0.750 0.491
Tc2 0.350 0.250 0.904
B1 0.123 0.750 0.016
B2 0.286 0.250 0.650

***

# La2YHo5Tm PBE optimized geometry
# * electronic total energy: -4.71 eV/atom
# * energy of formation: 0.144 eV/atom
# * spin magnetization: 0.028 Bohr magnetons per cell
data_La2YHo5Tm
_chemical_formula_sum 'La8 Y4 Ho20 Tm4'
_symmetry_space_group_name_H-M 'C m c 21'
_symmetry_Int_Tables_number 36
_cell_length_a 5.635
_cell_length_b 19.845
_cell_length_c 10.685
_cell_angle_alpha 90.00
_cell_angle_beta 90.00
_cell_angle_gamma 90.00
loop_
_symmetry_equiv_pos_as_xyz
'x,y,z'
'-x,-y,z+1/2'
'-x,y,z'
'x,-y,z+1/2'
'x+1/2,y+1/2,z'
'-x+1/2,-y+1/2,z+1/2'
'-x+1/2,y+1/2,z'
'x+1/2,-y+1/2,z+1/2'
loop_
_atom_site_label
_atom_site_fract_x
_atom_site_fract_y
_atom_site_fract_z
La1 0.000 0.113 0.000
La2 0.000 0.115 0.584
Y1 0.000 0.412 0.728
Ho1 0.000 0.016 0.290
Ho2 0.000 0.280 0.576
Ho3 0.000 0.299 0.974
Ho4 0.000 0.386 0.288
Ho5 0.000 0.481 0.007
Tm1 0.000 0.200 0.279

***

# Li8Zn3Ag3 PBE optimized geometry
# * electronic total energy: -2.08 eV/atom
# * energy of formation: -0.104 eV/atom
# * spin magnetization: 0.000 Bohr magnetons per cell
data_Li8Zn3Ag3
_chemical_formula_sum 'Li16 Zn6 Ag6'
_symmetry_space_group_name_H-M 'I m m m'
_symmetry_Int_Tables_number 71
_symmetry_space_group_name_Hall '-I 2 2'
_cell_length_a 4.269
_cell_length_b 10.219
_cell_length_c 10.351
_cell_angle_alpha 90.00
_cell_angle_beta 90.00
_cell_angle_gamma 90.00
loop_
_atom_site_label
_atom_site_fract_x
_atom_site_fract_y
_atom_site_fract_z
Li1 0.000 0.121 0.133
Li2 0.000 0.231 0.364
Zn1 0.000 0.000 0.500
Zn2 0.000 0.352 0.000
Ag1 0.000 0.500 0.221
Ag2 0.000 0.500 0.500

***

# Rb2SeO PBE optimized geometry
# * electronic total energy: -3.04 eV/atom
# * spin magnetization: 8.000 Bohr magnetons per cell
# * polymorph energy (0 for the lowest one): 342 meV/atom
# * ΔE_f (raw): -0.4478 eV/atom
data_Rb2SeO
_chemical_formula_sum 'Rb8 Se4 O4'
_symmetry_space_group_name_H-M 'F m -3 m'
_symmetry_Int_Tables_number 225
_symmetry_space_group_name_Hall '-F 4 2 3'
_cell_length_a 7.903
_cell_length_b 7.903
_cell_length_c 7.903
_cell_angle_alpha 90.00
_cell_angle_beta 90.00
_cell_angle_gamma 90.00
loop_
_atom_site_label
_atom_site_fract_x
_atom_site_fract_y
_atom_site_fract_z
Rb1 0.250 0.250 0.250
Se1 0.000 0.000 0.000
O1 0.000 0.000 0.500

***

# AcLa6Ag2 PBE optimized geometry
# * electronic total energy: -4.48 eV/atom
# * energy of formation: -0.108 eV/atom
# * spin magnetization: 0.000 Bohr magnetons per cell
data_AcLa6Ag2
_chemical_formula_sum 'Ac2 La12 Ag4'
_symmetry_space_group_name_H-M 'C 1 2/m 1'
_symmetry_Int_Tables_number 12
_cell_length_a 13.224
_cell_length_b 3.880
_cell_length_c 12.446
_cell_angle_alpha 90.00
_cell_angle_beta 108.26
_cell_angle_gamma 90.00
loop_
_symmetry_equiv_pos_as_xyz
'x,y,z'
'-x,-y,-z'
'-x,y,-z'
'x,-y,z'
'x+1/2,y+1/2,z'
'-x+1/2,-y+1/2,-z'
'-x+1/2,y+1/2,-z'
'x+1/2,-y+1/2,z'
loop_
_atom_site_label
_atom_site_fract_x
_atom_site_fract_y
_atom_site_fract_z
Ac1 0.000 0.000 0.000
La1 0.024 0.000 0.334
La2 0.185 0.500 0.875
La3 0.187 0.500 0.588
Ag1 0.153 0.500 0.209

***

# Sc2MoPb PBE optimized geometry
# * electronic total energy: -6.67 eV/atom
# * energy of formation: 0.128 eV/atom
# * spin magnetization: 7.375 Bohr magnetons per cell
data_Sc2MoPb
_chemical_formula_sum 'Sc8 Mo4 Pb4'
_symmetry_space_group_name_H-M 'F -4 3 m'
_symmetry_Int_Tables_number 216
_symmetry_space_group_name_Hall 'F -4 2 3'
_cell_length_a 6.901
_cell_length_b 6.901
_cell_length_c 6.901
_cell_angle_alpha 90.00
_cell_angle_beta 90.00
_cell_angle_gamma 90.00
loop_
_atom_site_label
_atom_site_fract_x
_atom_site_fract_y
_atom_site_fract_z
Sc1 0.000 0.000 0.000
Sc2 0.250 0.250 0.250
Mo1 0.000 0.000 0.500
Pb1 0.250 0.250 0.750